# 1
DFT (GGA-PBE) results for a relaxed structure of TbNd4Sc2.

Computed properties:
Raw total energy in eV per atom: -5.142
Polymorph energy (0 for the lowest one) in eV per atom: 0.000

The structure in POSCAR format:
```
TbNd4Sc2
1.0
7.474 -4.011 -1.947
-6.436 6.844 0.077
-0.024 5.356 14.830
Nd Tb Sc
8 2 4
direct
0.059 0.634 0.384
0.927 0.360 0.110
0.355 0.213 0.963
0.941 0.366 0.616
0.653 0.793 0.542
0.645 0.787 0.037
0.073 0.640 0.890
0.347 0.207 0.458
0.790 0.069 0.320
0.210 0.931 0.680
0.499 0.504 0.754
0.797 0.072 0.822
0.203 0.928 0.178
0.501 0.496 0.246
```

# 2
DFT (GGA-PBE) results for a relaxed structure of Ta2TcMo2.

Computed properties:
Raw total energy in eV per atom: -10.611
Polymorph energy (0 for the lowest one) in eV per atom: 0.428

The structure in POSCAR format:
```
Ta2TcMo2
1.0
-0.045 7.279 0.895
-7.326 -0.004 -0.338
-0.147 -0.393 3.190
Mo Ta Tc
4 4 2
direct
0.842 0.342 0.500
0.342 0.158 0.500
0.658 0.842 0.500
0.158 0.658 0.500
0.146 0.354 0.000
0.854 0.646 0.000
0.646 0.146 0.000
0.354 0.854 0.000
0.500 0.500 0.000
0.000 0.000 0.000
```

# 3
DFT (GGA-PBE) results for a relaxed structure of CeYSb.

Computed properties:
ΔE_f (raw) in kJ/mol of formula units: -240
Raw total energy in eV per atom: -6.335

The structure in POSCAR format:
```
CeYSb
1.0
-1.214 -0.334 -4.130
4.112 -0.606 -1.169
-0.946 -8.806 1.044
Y Ce Sb
2 2 2
direct
0.252 0.748 0.637
0.748 0.252 0.363
0.734 0.734 0.000
0.266 0.266 0.000
0.753 0.247 0.716
0.247 0.753 0.284
```

# 4
DFT (GGA-PBE) results for a relaxed structure of MgHgSb2.

Computed properties:
ΔE_f (raw) in kJ/mol of formula units: -15
Raw total energy in eV per atom: -2.575
Polymorph energy (0 for the lowest one) in eV per atom: 0.003

The structure in POSCAR format:
```
MgHgSb2
1.0
-1.537 3.895 0.440
-0.774 -0.662 3.151
6.489 1.934 5.545
Sb Mg Hg
2 1 1
direct
0.000 0.441 0.561
0.000 0.059 0.939
0.500 0.750 0.750
0.500 0.250 0.250
```